VASP calculation (PBE-GGA) on MoPtAu after structural relaxation.

a = 5.3141 Å, b = 5.3141 Å, c = 5.3141 Å
α = 144.78°, β = 144.78°, γ = 50.67°
Positions (direct):
Mo 0.0000 0.0000 0.0000
Pt 0.6528 0.6528 0.0000
Au 0.3249 0.3249 0.0000

Calculated values
- total moment (Bohr magnetons per cell) = 0.0
- SG = I4mm, No. 107
- total energy (eV/atom) = -6.573
- polymorph energy (0 for the lowest one) (eV per atom) = 0.268